A relaxed NaNdCrF6 crystal. Source: Alexandria, functional PBE+U.

Computed properties:
Magnetic moment (Bohr magnetons per cell): 8.0
Uncorrected energy (eV per atom): -5.8763

Structure (CIF):
```
data_NaNdCrF6
_chemical_formula_sum 'Na2 Nd2 Cr2 F12'
_cell_length_a 5.9308
_cell_length_b 5.9308
_cell_length_c 9.3161
_cell_angle_alpha 90.00
_cell_angle_beta 90.00
_cell_angle_gamma 120.00
_symmetry_space_group_name_H-M 'P -3 1 c'
_symmetry_Int_Tables_number 163
_symmetry_space_group_name_Hall '-P 3 2c'
loop_
_atom_site_label
_atom_site_type_symbol
_atom_site_fract_x
_atom_site_fract_y
_atom_site_fract_z
Na1 Na 0.0000 0.0000 0.0000
Nd1 Nd 0.3333 0.6667 0.2500
Cr1 Cr 0.3333 0.6667 0.7500
F1 F 0.0212 0.3596 0.6320
```